(1)
A plane-wave DFT calculation with PBE was carried out for La7Nd2Er2 after structural relaxation.

Cell lengths 8.233, 8.233, 6.226 Å; angles 105.12, 105.12, 89.85 degrees
Fractional positions:
1 La 0.000 0.000 0.000
2 La 0.046 0.584 0.819
3 La 0.416 0.954 0.181
4 La 0.426 0.426 0.199
5 La 0.574 0.574 0.801
6 La 0.584 0.046 0.819
7 La 0.954 0.416 0.181
8 Nd 0.226 0.226 0.596
9 Nd 0.774 0.774 0.404
10 Er 0.214 0.786 0.500
11 Er 0.786 0.214 0.500

Summary:
The total energy comes out at -51.9 eV/cell. The volume is 392.3 Å³ per cell. The value obtained for the energy above the lowest structure with this stoichiometry is 17.1 meV per atom. Its space-group type is C2/m. For the density of states at the Fermi level, the calculation gives 1.52 states/eV per atom.

(2)
A plane-wave DFT calculation with PBE was carried out for HoLuRhPb after structural relaxation.

Cell lengths 5.086, 5.086, 5.086 Å; angles 60.00, 60.00, 60.00 degrees
Fractional positions:
1 Ho 0.000 0.000 0.000
2 Lu 0.500 0.500 0.500
3 Rh 0.750 0.750 0.750
4 Pb 0.250 0.250 0.250

Summary:
The total energy comes out at -22.3 eV/cell. The volume is 93.0 Å³ per cell. Its space-group type is F-43m. For the density of states at the Fermi level, the calculation gives 0.77 states/eV per atom.

(3)
A plane-wave DFT calculation with PBE was carried out for Ca2Be2GaPt5 after structural relaxation.

Cell lengths 9.617, 9.617, 3.401 Å; angles 90.00, 90.00, 90.00 degrees
Fractional positions:
1 Ca 0.177 0.323 0.000
2 Ca 0.323 0.823 0.000
3 Ca 0.677 0.177 0.000
4 Ca 0.823 0.677 0.000
5 Be 0.122 0.622 0.000
6 Be 0.378 0.122 0.000
7 Be 0.622 0.878 0.000
8 Be 0.878 0.378 0.000
9 Ga 0.000 0.000 0.000
10 Ga 0.500 0.500 0.000
11 Pt 0.000 0.500 0.500
12 Pt 0.067 0.787 0.500
13 Pt 0.213 0.067 0.500
14 Pt 0.287 0.567 0.500
15 Pt 0.433 0.287 0.500
16 Pt 0.500 0.000 0.500
17 Pt 0.567 0.713 0.500
18 Pt 0.713 0.433 0.500
19 Pt 0.787 0.933 0.500
20 Pt 0.933 0.213 0.500

Summary:
The total energy comes out at -106.5 eV/cell. The volume is 314.6 Å³ per cell. Its space-group type is P4/mbm. For the density of states at the Fermi level, the calculation gives 0.28 states/eV per atom.

no.,total magnetic moment (μB/f.u.),energy of formation (eV/atom)
1,0.000,0.1117
2,0.000,-0.5263
3,0.000,-0.8541